MoOs2Rh | PBE | relaxed Values from VASP.

Structure (Quantum ESPRESSO input):
```
&SYSTEM
  ibrav = 0, nat = 4, ntyp = 3
/
ATOMIC_SPECIES
Mo 95.94 Mo.upf
Os 190.23 Os.upf
Rh 102.91 Rh.upf
CELL_PARAMETERS angstrom
4.752 -0.003 0.001
3.961 2.624 0.001
0.807 0.243 4.695
ATOMIC_POSITIONS crystal
Mo 0.250 0.250 0.250
Os 0.999 0.999 0.000
Os 0.501 0.501 0.500
Rh 0.750 0.750 0.750
```

energy above the most stable polymorph in this dataset = 0.0881 eV/atom
space group = C2/m (12)
formation energy = 0.04 eV per atom
calculated volume = 14.65 Å³/atom

---

LiAl3S | PBE | relaxed Values from VASP.

Structure (Quantum ESPRESSO input):
```
&SYSTEM
  ibrav = 0, nat = 5, ntyp = 3
/
ATOMIC_SPECIES
S 32.06 S.upf
Al 26.98 Al.upf
Li 6.94 Li.upf
CELL_PARAMETERS angstrom
-0.438 2.909 3.473
-4.306 0.817 -1.228
-1.408 -3.404 2.674
ATOMIC_POSITIONS crystal
S 0.500 0.500 0.500
Al 0.000 0.500 0.000
Al 0.000 0.000 0.500
Al 0.500 0.000 0.000
Li 0.000 0.000 0.000
```

energy above the most stable polymorph in this dataset = 0.0916 eV/atom
uncorrected formation energy = 0.452 eV/atom
space group = Pm-3m (221)
calculated volume = 18.86 Å³/atom

---

Ca2BRu2 | PBE | relaxed Values from VASP.

Structure (Quantum ESPRESSO input):
```
&SYSTEM
  ibrav = 0, nat = 10, ntyp = 3
/
ATOMIC_SPECIES
Ru 101.07 Ru.upf
Ca 40.08 Ca.upf
B 10.81 B.upf
CELL_PARAMETERS angstrom
6.003 0.000 0.000
0.000 6.003 0.000
0.000 0.000 4.723
ATOMIC_POSITIONS crystal
Ru 0.338 0.838 0.000
Ru 0.838 0.662 0.000
Ru 0.662 0.162 0.000
Ru 0.162 0.338 0.000
Ca 0.173 0.673 0.500
Ca 0.673 0.827 0.500
Ca 0.827 0.327 0.500
Ca 0.327 0.173 0.500
B 0.000 0.000 0.000
B 0.500 0.500 0.000
```

energy above the most stable polymorph in this dataset = 0.0000 eV/atom
space group = P4/mbm (127)
formation energy = 0.14 eV per atom
calculated volume = 17.02 Å³/atom

---

CaB2Se2 | PBE | relaxed Values from VASP.

Structure (Quantum ESPRESSO input):
```
&SYSTEM
  ibrav = 0, nat = 5, ntyp = 3
/
ATOMIC_SPECIES
Ca 40.08 Ca.upf
B 10.81 B.upf
Se 78.96 Se.upf
CELL_PARAMETERS angstrom
3.079 0.000 0.000
0.000 3.079 0.000
1.540 1.540 8.652
ATOMIC_POSITIONS crystal
Ca 0.000 0.000 0.000
B 0.750 0.250 0.500
B 0.250 0.750 0.500
Se 0.383 0.383 0.234
Se 0.617 0.617 0.766
```

energy above the most stable polymorph in this dataset = 0.1175 eV/atom
uncorrected formation energy = 0.575 eV/atom
space group = I4/mmm (139)
calculated volume = 16.41 Å³/atom